# Pm4SmSi4

Crystalline Pm4SmSi4 at its relaxed geometry (GGA-PBE, the Alexandria database). Values from VASP.

The structure in Quantum ESPRESSO input format:
```
&SYSTEM
  ibrav = 0, nat = 18, ntyp = 3
/
ATOMIC_SPECIES
Pm 145.00 Pm.upf
Sm 150.36 Sm.upf
Si 28.09 Si.upf
CELL_PARAMETERS angstrom
5.972 0.000 0.000
0.000 9.050 0.000
0.000 0.000 9.050
ATOMIC_POSITIONS crystal
Pm 0.368 0.307 0.919
Pm 0.868 0.581 0.807
Pm 0.368 0.693 0.081
Pm 0.132 0.193 0.581
Pm 0.632 0.919 0.693
Pm 0.132 0.807 0.419
Pm 0.868 0.419 0.193
Pm 0.632 0.081 0.307
Sm 0.000 0.000 0.000
Sm 0.500 0.500 0.500
Si 0.642 0.766 0.366
Si 0.642 0.234 0.634
Si 0.142 0.866 0.734
Si 0.858 0.266 0.866
Si 0.858 0.734 0.134
Si 0.358 0.366 0.234
Si 0.358 0.634 0.766
Si 0.142 0.134 0.266
```

E_form (uncorrected) (eV per formula unit): -4.13
Crystal system: tetragonal
VASP energy (eV/atom): -5.5050


# LaCoPt2

Crystalline LaCoPt2 at its relaxed geometry (GGA-PBE, the Alexandria database). Values from VASP.

The structure in Quantum ESPRESSO input format:
```
&SYSTEM
  ibrav = 0, nat = 4, ntyp = 3
/
ATOMIC_SPECIES
Co 58.93 Co.upf
La 138.91 La.upf
Pt 195.08 Pt.upf
CELL_PARAMETERS angstrom
-4.372 -0.565 -0.150
-1.689 -3.709 -1.688
-1.903 -3.460 3.754
ATOMIC_POSITIONS crystal
Co 0.432 0.432 0.703
La 0.250 0.250 0.249
Pt 0.049 0.049 0.853
Pt 0.769 0.769 0.694
```

Energy of formation from the pure elements (eV/atom): -0.59
Crystal system: trigonal
VASP energy (eV/atom): -6.6148